[1]
A plane-wave DFT calculation with PBE was carried out for a relaxed structure of AcLa2CeTl4.

Values from the calculation:
- spin magnetization (μB per cell) = 1.1
- raw total energy (eV/cell) = -32.07
- DOS(E_F) (states/eV/cell) = 15.1
- formation energy (eV/atom) = -0.338

Cell: 9.8174 9.8174 9.8174 Å, 33.59 33.59 33.59°
Last column: nearest neighbours and their distance in Å.
Sites, in units of the cell vectors:
Ac1 0.0000 0.0000 0.0000  8 Tl 3.50-3.53
La1 0.2495 0.2495 0.2495  8 Tl 3.40-3.56
La2 0.7505 0.7505 0.7505  8 Tl 3.40-3.56
Ce1 0.5000 0.5000 0.5000  8 Tl 3.39-3.45
Tl1 0.1272 0.1272 0.1272  4 La 3.40-3.49, 3 Ce 3.45, 1 Ac 3.53
Tl2 0.3779 0.3779 0.3779  1 Ce 3.39, 4 La 3.45-3.56, 3 Ac 3.50
Tl3 0.6221 0.6221 0.6221  1 Ce 3.39, 4 La 3.45-3.56, 3 Ac 3.50
Tl4 0.8728 0.8728 0.8728  4 La 3.40-3.49, 3 Ce 3.45, 1 Ac 3.53

[2]
A plane-wave DFT calculation with PBE was carried out for a relaxed structure of Rb2BeCBr6.

Values from the calculation:
- spin magnetization (μB per cell) = 0.0
- raw total energy (eV/cell) = -28.64
- DOS(E_F) (states/eV/cell) = 0.0
- E_form (uncorrected) (eV per atom) = -0.371

Cell: 7.2816 7.2816 7.2816 Å, 121.61 121.61 87.23°
Last column: nearest neighbours and their distance in Å.
Sites, in units of the cell vectors:
Rb1 0.2500 0.7500 0.5000  12 Br 3.56-3.64
Rb2 0.7500 0.2500 0.5000  12 Br 3.56-3.64
Be1 0.0000 0.0000 0.0000  4 Br 2.42
C1 0.5000 0.5000 0.0000  6 Br 2.46-2.61
Br1 0.2405 0.2405 0.4811  1 Be 2.42, 1 C 2.61
Br2 0.2405 0.7595 0.0000  1 Be 2.42, 1 C 2.61
Br3 0.2664 0.2664 0.0000  1 C 2.46
Br4 0.7336 0.7336 0.0000  1 C 2.46
Br5 0.7595 0.2405 0.0000  1 Be 2.42, 1 C 2.61
Br6 0.7595 0.7595 0.5189  1 Be 2.42, 1 C 2.61

[3]
A plane-wave DFT calculation with PBE was carried out for a relaxed structure of Nd7TmMg2.

Values from the calculation:
- spin magnetization (μB per cell) = 0.0
- raw total energy (eV/cell) = -35.88
- DOS(E_F) (states/eV/cell) = 14.6
- formation energy (eV/atom) = 0.516

Cell: 9.4929 9.4929 5.3296 Å, 90.00 90.00 124.13°
Last column: nearest neighbours and their distance in Å.
Sites, in units of the cell vectors:
Nd1 0.0000 0.0000 0.0000  2 Mg 3.38, 4 Nd 3.40
Nd2 0.2026 0.4297 0.0000  2 Mg 3.17-3.51, 4 Nd 3.27-3.53
Nd3 0.2885 0.7115 0.5000  2 Mg 3.04
Nd4 0.4297 0.2026 0.0000  2 Mg 3.17-3.51, 4 Nd 3.27-3.53
Nd5 0.5703 0.7974 0.0000  2 Mg 3.17-3.51, 4 Nd 3.27-3.53
Nd6 0.7115 0.2885 0.5000  2 Mg 3.04
Nd7 0.7974 0.5703 0.0000  2 Mg 3.17-3.51, 4 Nd 3.27-3.53
Tm1 0.5000 0.5000 0.5000  10 Nd 3.55-3.66
Mg1 0.2013 0.7987 0.0000  5 Nd 3.04-3.38
Mg2 0.7987 0.2013 0.0000  5 Nd 3.04-3.38

[4]
A plane-wave DFT calculation with PBE was carried out for a relaxed structure of TbEr3Th2.

Values from the calculation:
- energy above the lowest structure with this stoichiometry (meV per atom) = 539
- spin magnetization (μB per cell) = 0.0
- raw total energy (eV/cell) = -59.51
- DOS(E_F) (states/eV/cell) = 15.3
- formation energy (eV/atom) = 0.568

Cell: 6.6391 6.6391 11.3117 Å, 90.00 90.00 117.31°
Last column: nearest neighbours and their distance in Å.
Sites, in units of the cell vectors:
Tb1 0.0011 0.9989 0.7500  6 Er 3.32-3.45, 4 Th 3.32
Tb2 0.9989 0.0011 0.2500  6 Er 3.32-3.45, 4 Th 3.32
Er1 0.0010 0.4989 0.7500  4 Er 3.32-3.45, 2 Tb 3.32
Er2 0.4989 0.0010 0.2500  4 Er 3.32-3.45, 2 Tb 3.32
Er3 0.4990 0.5010 0.2500  4 Th 3.30, 4 Er 3.32, 2 Tb 3.45
Er4 0.5010 0.4990 0.7500  4 Th 3.30, 4 Er 3.32, 2 Tb 3.45
Er5 0.5011 0.9990 0.7500  4 Er 3.32-3.45, 2 Tb 3.32
Er6 0.9990 0.5011 0.2500  4 Er 3.32-3.45, 2 Tb 3.32
Th1 0.2531 0.2531 0.0000  2 Er 3.30, 2 Tb 3.32, 2 Th 3.41-3.50
Th2 0.2531 0.2531 0.5000  2 Er 3.30, 2 Tb 3.32, 2 Th 3.41-3.50
Th3 0.7469 0.7469 0.0000  2 Er 3.30, 2 Tb 3.32, 2 Th 3.41-3.50
Th4 0.7469 0.7469 0.5000  2 Er 3.30, 2 Tb 3.32, 2 Th 3.41-3.50

[5]
A plane-wave DFT calculation with PBE was carried out for a relaxed structure of Al2CoTe.

Values from the calculation:
- spin magnetization (μB per cell) = 0.0
- raw total energy (eV/cell) = -18.15
- DOS(E_F) (states/eV/cell) = 1.8
- E_form (uncorrected) (eV per atom) = -0.103

Cell: 4.5350 4.5350 6.1473 Å, 107.96 107.96 39.57°
Last column: nearest neighbours and their distance in Å.
Sites, in units of the cell vectors:
Al1 0.0000 0.0000 0.0000  2 Co 2.37
Al2 0.2139 0.2139 0.7316  3 Co 2.41-2.42
Co1 0.4903 0.4903 0.7026  5 Al 2.37-2.42, 2 Te 2.61
Te1 0.8542 0.8542 0.3472  2 Co 2.61, 1 Al 2.80

[6]
A plane-wave DFT calculation with PBE was carried out for a relaxed structure of Cs2PmPuO4.

Values from the calculation:
- spin magnetization (μB per cell) = 5.0
- raw total energy (eV/cell) = -59.81
- DOS(E_F) (states/eV/cell) = 5.3
- E_form (uncorrected) (eV per atom) = -2.399

Cell: 6.3370 3.6547 7.2446 Å, 90.00 106.89 90.00°
Last column: nearest neighbours and their distance in Å.
Sites, in units of the cell vectors:
Cs1 0.0000 0.0000 0.0000  6 O 3.16-3.17
Cs2 0.5000 0.5000 0.0000  6 O 3.12-3.13
Pm1 0.0000 0.5000 0.5000  6 O 2.41-2.43
Pu1 0.5000 0.0000 0.5000  6 O 2.37-2.38
O1 0.2262 0.0000 0.6652  1 Pu 2.38, 2 Pm 2.41
O2 0.2859 0.5000 0.3377  2 Pu 2.37, 1 Pm 2.43
O3 0.7141 0.5000 0.6623  2 Pu 2.37, 1 Pm 2.43
O4 0.7738 0.0000 0.3348  1 Pu 2.38, 2 Pm 2.41

[7]
A plane-wave DFT calculation with PBE was carried out for a relaxed structure of Pr3Mg4Tl2.

Values from the calculation:
- spin magnetization (μB per cell) = 0.0
- raw total energy (eV/cell) = -27.58
- DOS(E_F) (states/eV/cell) = 5.9
- formation energy (eV/atom) = -0.237

Cell: 6.2823 6.2823 9.7083 Å, 116.48 116.48 48.30°
Last column: nearest neighbours and their distance in Å.
Sites, in units of the cell vectors:
Pr1 0.0000 0.0000 0.0000  8 Mg 3.41-3.60, 4 Tl 3.47, 2 Pr 3.62
Pr2 0.3378 0.3378 0.3277  8 Mg 3.39-3.55, 4 Tl 3.41-3.60, 2 Pr 3.59-3.62
Pr3 0.6622 0.6622 0.6723  8 Mg 3.39-3.55, 4 Tl 3.41-3.60, 2 Pr 3.59-3.62
Mg1 0.0752 0.0752 0.4058  2 Tl 2.98, 1 Mg 3.07
Mg2 0.2878 0.2878 0.9534  1 Tl 2.96, 2 Mg 2.99
Mg3 0.7122 0.7122 0.0466  1 Tl 2.96, 2 Mg 2.99
Mg4 0.9248 0.9248 0.5942  2 Tl 2.98, 1 Mg 3.07
Tl1 0.3891 0.3891 0.7248  3 Mg 2.96-2.98
Tl2 0.6109 0.6109 0.2752  3 Mg 2.96-2.98

[8]
A plane-wave DFT calculation with PBE was carried out for a relaxed structure of HfB.

Values from the calculation:
- spin magnetization (μB per cell) = 0.0
- raw total energy (eV/cell) = -60.08
- DOS(E_F) (states/eV/cell) = 8.6
- formation energy (eV/atom) = 0.806

Cell: 6.1310 6.1310 6.1310 Å, 109.47 109.47 109.47°
Last column: nearest neighbours and their distance in Å.
Sites, in units of the cell vectors:
Hf1 0.0000 0.0000 0.3442  4 B 2.21-2.28
Hf2 0.0000 0.3442 0.0000  4 B 2.21-2.28
Hf3 0.3442 0.0000 0.0000  4 B 2.21-2.28
Hf4 0.6558 0.6558 0.6558  4 B 2.21-2.28
B1 0.0000 0.0000 0.7043  4 Hf 2.21-2.28
B2 0.0000 0.7043 0.0000  4 Hf 2.21-2.28
B3 0.2957 0.2957 0.2957  4 Hf 2.21-2.28
B4 0.7043 0.0000 0.0000  4 Hf 2.21-2.28

[9]
A plane-wave DFT calculation with PBE was carried out for a relaxed structure of LaPdBr2.

Values from the calculation:
- energy above the lowest structure with this stoichiometry (meV per atom) = 0
- spin magnetization (μB per cell) = 0.0
- raw total energy (eV/cell) = -17.22
- DOS(E_F) (states/eV/cell) = 7.4
- E_form (uncorrected) (eV per atom) = -0.937

Cell: 5.1546 5.1546 5.1546 Å, 60.00 60.00 60.00°
Last column: nearest neighbours and their distance in Å.
Sites, in units of the cell vectors:
La1 0.0000 0.0000 0.0000  8 Br 3.16
Pd1 0.5000 0.5000 0.5000  8 Br 3.16
Br1 0.2500 0.2500 0.2500  4 Pd 3.16, 4 La 3.16
Br2 0.7500 0.7500 0.7500  4 Pd 3.16, 4 La 3.16

[10]
A plane-wave DFT calculation with PBE was carried out for a relaxed structure of Ba2GeSe.

Values from the calculation:
- energy above the lowest structure with this stoichiometry (meV per atom) = 489
- spin magnetization (μB per cell) = 4.0
- raw total energy (eV/cell) = -30.32
- DOS(E_F) (states/eV/cell) = 2.5
- E_form (uncorrected) (eV per atom) = -0.803

Cell: 7.6134 7.6134 7.6134 Å, 111.21 111.21 106.05°
Last column: nearest neighbours and their distance in Å.
Sites, in units of the cell vectors:
Ba1 0.1096 0.6250 0.9846  2 Se 3.16, 2 Ge 3.34
Ba2 0.3750 0.3596 0.4846  2 Se 3.16, 2 Ge 3.34
Ba3 0.6404 0.1250 0.0154  2 Se 3.16, 2 Ge 3.34
Ba4 0.8750 0.8904 0.5154  2 Se 3.16, 2 Ge 3.34
Ge1 0.2500 0.7500 0.5000  4 Ba 3.34
Ge2 0.5000 0.5000 0.0000  4 Ba 3.34
Se1 0.0000 0.0000 0.0000  4 Ba 3.16
Se2 0.7500 0.2500 0.5000  4 Ba 3.16

[11]
A plane-wave DFT calculation with PBE was carried out for a relaxed structure of LaCuO3.

Values from the calculation:
- spin magnetization (μB per cell) = 0.0
- raw total energy (eV/cell) = -33.79
- DOS(E_F) (states/eV/cell) = 1.2
- E_form (uncorrected) (eV per atom) = -1.979

Cell: 3.8706 3.8706 3.8706 Å, 90.00 90.00 90.00°
Last column: nearest neighbours and their distance in Å.
Sites, in units of the cell vectors:
La1 0.0000 0.0000 0.0000  12 O 2.74
Cu1 0.5000 0.5000 0.5000  6 O 1.94
O1 0.0000 0.5000 0.5000  2 Cu 1.94
O2 0.5000 0.0000 0.5000  2 Cu 1.94
O3 0.5000 0.5000 0.0000  2 Cu 1.94

[12]
A plane-wave DFT calculation with PBE was carried out for a relaxed structure of La4Pm3Y4.

Values from the calculation:
- energy above the lowest structure with this stoichiometry (meV per atom) = 68
- spin magnetization (μB per cell) = 0.0
- raw total energy (eV/cell) = -58.46
- DOS(E_F) (states/eV/cell) = 15.6
- formation energy (eV/atom) = 0.123

Cell: 12.4645 12.4645 12.4645 Å, 163.28 135.15 48.19°
Last column: nearest neighbours and their distance in Å.
Sites, in units of the cell vectors:
La1 0.0245 0.8552 0.1692  1 La 3.22, 1 Y 3.58
La2 0.3140 0.1448 0.1692  1 La 3.22, 1 Y 3.58
La3 0.6860 0.8552 0.8308  1 La 3.22, 1 Y 3.58
La4 0.9755 0.1448 0.8308  1 La 3.22, 1 Y 3.58
Pm1 0.0000 0.5000 0.5000  4 Y 3.52, 2 Pm 3.63
Pm2 0.3933 0.3933 0.0000  6 Y 3.48-3.49, 2 Pm 3.63, 4 La 3.73
Pm3 0.6067 0.6067 0.0000  6 Y 3.48-3.49, 2 Pm 3.63, 4 La 3.73
Y1 0.2627 0.7627 0.5000  2 Pm 3.48, 6 La 3.62-3.79, 2 Y 3.63
Y2 0.3171 0.0000 0.3171  3 Y 3.48-3.63, 6 Pm 3.49-3.52, 2 La 3.58
Y3 0.6829 0.0000 0.6829  3 Y 3.48-3.63, 6 Pm 3.49-3.52, 2 La 3.58
Y4 0.7373 0.2373 0.5000  2 Pm 3.48, 6 La 3.62-3.79, 2 Y 3.63